Entry 1:
# ScCuBr2 PBE-GGA relaxed
data_ScCuBr2
_symmetry_space_group_name_H-M 'I -4 m 2'
_symmetry_Int_Tables_number 119
_symmetry_space_group_name_Hall 'I -4 -2'
_cell_length_a 3.8560
_cell_length_b 3.8560
_cell_length_c 11.3743
_cell_angle_alpha 90.00
_cell_angle_beta 90.00
_cell_angle_gamma 90.00
loop_
_atom_site_label
_atom_site_fract_x
_atom_site_fract_y
_atom_site_fract_z
Sc1 0.0000 0.0000 0.0000
Cu1 0.0000 0.5000 0.2500
Br1 0.0000 0.0000 0.5000
Br2 0.0000 0.5000 0.7500
# electronic total energy	-3.745	eV/atom
# magnetization	0.00	μB per formula unit
# mass density	5.3	g cm⁻³
# formation energy without anion corrections	-0.3014	eV per atom



Entry 2:
# Hf3MnBe8 PBE-GGA relaxed
data_Hf3MnBe8
_symmetry_space_group_name_H-M 'R 3 m'
_symmetry_Int_Tables_number 160
_symmetry_space_group_name_Hall 'R 3 -2"'
_cell_length_a 4.5951
_cell_length_b 4.5951
_cell_length_c 23.0088
_cell_angle_alpha 90.00
_cell_angle_beta 90.00
_cell_angle_gamma 120.00
loop_
_atom_site_label
_atom_site_fract_x
_atom_site_fract_y
_atom_site_fract_z
Hf1 0.0000 0.0000 0.0000
Hf2 0.0000 0.0000 0.1269
Hf3 0.0000 0.0000 0.6152
Mn1 0.0000 0.0000 0.4986
Be1 0.0000 0.0000 0.3108
Be2 0.0000 0.0000 0.8103
Be3 0.0033 0.5016 0.5567
Be4 0.0066 0.5033 0.0639
# electronic total energy	-5.856	eV/atom
# magnetization	0.00	μB per formula unit
# mass density	7.8	g cm⁻³
# calculated formation energy	-0.119	eV per atom



Entry 3:
# CaAsSe2S PBE-GGA relaxed
data_CaAsSe2S
_symmetry_space_group_name_H-M 'P 4/m m m'
_symmetry_Int_Tables_number 123
_symmetry_space_group_name_Hall '-P 4 2'
_cell_length_a 4.9596
_cell_length_b 4.9596
_cell_length_c 4.8611
_cell_angle_alpha 90.00
_cell_angle_beta 90.00
_cell_angle_gamma 90.00
loop_
_atom_site_label
_atom_site_fract_x
_atom_site_fract_y
_atom_site_fract_z
Ca1 0.0000 0.0000 0.0000
As1 0.5000 0.5000 0.0000
Se1 0.0000 0.5000 0.5000
S1 0.5000 0.5000 0.5000
# electronic total energy	-3.750	eV/atom
# magnetization	0.26	μB per formula unit
# mass density	4.2	g cm⁻³
# formation energy without anion corrections	-0.2009	eV per atom